First-principles (PBE-GGA) data for Ba2ScOsS6 after structural relaxation, as listed in OQMD via LeMat-Bulk.

As for the total DFT energy (no corrections): -5.85 eV per atom. As for the volume: 23.1 Å³ per atom. Its energy above the most stable polymorph in this dataset is 5 meV/atom.

The structure belongs to space group Fm-3m (No. 225); the cell edges are 9.733, 9.733 and 9.733 Å and the angles 90.00°, 90.00° and 90.00°. The inequivalent atoms are Ba at (0.250, 0.250, 0.250), Sc at (0.000, 0.000, 0.000), Os at (0.000, 0.000, 0.500) and S at (0.000, 0.000, 0.258).